Record 1
Below is an optimized crystal structure of MgFeOs2, with properties calculated at the PBE-GGA level.

a b c (Å): 2.7737 4.4524 9.4013
angles (deg): 90.00 90.00 90.00
Last column: nearest neighbours and their distance in Å.
Space group Immm (No. 71)
One atom of each set of equivalent atoms:
Mg: 0.0000 0.0000 0.0000  4 Fe 2.62, 2 Mg 2.77
Fe: 0.0000 0.0000 0.5000  4 Os 2.48, 4 Mg 2.62, 2 Fe 2.77
Os: 0.0000 0.5000 0.2186  2 Fe 2.48, 6 Os 2.69-2.77

**ΔH_f (0 K)**: 0.2048 eV per atom
**Total energy**: -7.92 eV/atom

***

Record 2
Below is an optimized crystal structure of MgFeOs2, with properties calculated at the PBE-GGA level.

a b c (Å): 9.7229 2.7757 4.5167
angles (deg): 90.00 108.51 90.00
Last column: nearest neighbours and their distance in Å.
Space group C2/m (No. 12)
One atom of each set of equivalent atoms:
Mg: 0.0000 0.0000 0.0000  4 Fe 2.65, 2 Mg 2.78, 6 Os 2.82-2.94
Fe: 0.0000 0.5000 0.5000  4 Os 2.50, 4 Mg 2.65, 2 Fe 2.78
Os: 0.2224 0.0000 0.7241  2 Fe 2.50, 6 Os 2.65-2.78

**ΔH_f (0 K)**: 0.2080 eV per atom
**Total energy**: -7.92 eV/atom

***

Record 3
Below is an optimized crystal structure of MgFe2Os, with properties calculated at the PBE-GGA level.

a b c (Å): 2.8508 4.3689 8.7016
angles (deg): 90.00 90.00 90.00
Last column: nearest neighbours and their distance in Å.
Space group Imm2 (No. 44)
One atom of each set of equivalent atoms:
Mg: 0.0000 0.0000 0.0000  6 Fe 2.61-2.70, 2 Os 2.76, 2 Mg 2.85
Fe: 0.0000 0.0000 0.5116  2 Fe 2.42, 2 Os 2.53, 4 Mg 2.61
Fe: 0.0000 0.5000 0.2369  2 Fe 2.42, 4 Os 2.63, 2 Mg 2.70
Os: 0.0000 0.5000 0.7717  6 Fe 2.53-2.63, 2 Mg 2.76

**ΔH_f (0 K)**: 0.1884 eV per atom
**Total energy**: -7.25 eV/atom

***

Record 4
Below is an optimized crystal structure of MgFe4Os, with properties calculated at the PBE-GGA level.

a b c (Å): 6.7358 6.7358 6.7358
angles (deg): 90.00 90.00 90.00
Last column: nearest neighbours and their distance in Å.
Space group F-43m (No. 216)
One atom of each set of equivalent atoms:
Mg: 0.0000 0.0000 0.0000  12 Fe 2.79, 4 Os 2.92
Fe: 0.1243 0.1243 0.3757  6 Fe 2.37-2.40
Os: 0.2500 0.2500 0.7500  12 Fe 2.79, 4 Mg 2.92

**ΔH_f (0 K)**: 0.1341 eV per atom
**Total energy**: -7.65 eV/atom

***

Record 5
Below is an optimized crystal structure of MgFeOs2, with properties calculated at the PBE-GGA level.

a b c (Å): 6.0968 6.0968 6.0968
angles (deg): 90.00 90.00 90.00
Last column: nearest neighbours and their distance in Å.
Space group F-43m (No. 216)
One atom of each set of equivalent atoms:
Mg: 0.0000 0.0000 0.0000  4 Os 2.64, 4 Fe 2.64
Fe: 0.2500 0.2500 0.7500  4 Os 2.64, 4 Mg 2.64
Os: 0.0000 0.0000 0.5000  4 Fe 2.64, 4 Os 2.64
Os: 0.2500 0.2500 0.2500  4 Os 2.64, 4 Mg 2.64

**ΔH_f (0 K)**: 0.2851 eV per atom
**Total energy**: -7.84 eV/atom

***

Record 6
Below is an optimized crystal structure of Mg3FeOs, with properties calculated at the PBE-GGA level.

a b c (Å): 4.9317 4.9317 4.9317
angles (deg): 90.00 90.00 90.00
Last column: nearest neighbours and their distance in Å.
Space group Pm-3m (No. 221)
One atom of each set of equivalent atoms:
Mg: 0.0000 0.0000 0.5000  2 Os 2.47
Fe: 0.5000 0.5000 0.5000  12 Mg 3.49
Os: 0.0000 0.0000 0.0000  6 Mg 2.47

**ΔH_f (0 K)**: 1.0737 eV per atom
**Total energy**: -3.82 eV/atom
**Distance to the lowest polymorph of the same formula**: 0.0 meV per atom